# 1
Here is a geometry-optimized SrNbAu structure from Alexandria. Energies are from PBE-GGA.

```
SrNbAu
1.0
1.3384 4.1958 -2.6233
-3.3908 0.3443 3.8290
4.7246 1.0498 4.0895
Sr Nb Au
2 2 2
Cartesian
-0.6333 1.8905 2.7006
3.3055 3.6993 2.5946
1.7291 2.4154 4.7454
0.9432 3.1744 0.5498
0.0000 0.0000 0.0000
2.3623 0.5249 2.0448
```

- space group = P6_3/mmc, No. 194
- D(E_F) (states/eV per atom) = 1.2216
- uncorrected energy (eV/atom) = -4.157

***

# 2
Here is a geometry-optimized Si2Os structure from Alexandria. Energies are from PBE-GGA.

```
Si2Os
1.0
0.2183 -2.4416 3.8675
3.0199 -1.4720 3.1112
-1.1516 5.7411 3.0950
Si Os
4 2
Cartesian
1.1181 1.5798 6.1676
1.8920 -1.1458 5.5399
2.0327 0.2274 7.8219
-0.1683 4.5052 5.1528
-1.0328 5.3410 3.0219
0.9191 0.4118 3.9329
```

- space group = Cm, No. 8
- formation energy from raw total energies (meV per atom) = -188
- D(E_F) (states/eV per atom) = 0.1981